[1]
Density functional theory data (PBE) for an optimized crystal structure of Mg6AgSn2.

Computed properties:
Energy relative to the elements: -0.0491 eV/atom
Raw total energy: -0.1704 Ry/atom

Lattice parameters (Å, degrees): 5.985 7.501 10.474 90.00 114.85 90.00
Atoms (fractional coordinates):
Mg 0.105 0.050 0.242
Mg 0.105 0.450 0.742
Mg 0.176 0.735 0.043
Mg 0.176 0.765 0.543
Mg 0.346 0.147 0.020
Mg 0.346 0.353 0.520
Mg 0.654 0.647 0.480
Mg 0.654 0.853 0.980
Mg 0.824 0.235 0.457
Mg 0.824 0.265 0.957
Mg 0.895 0.550 0.258
Mg 0.895 0.950 0.758
Ag 0.500 0.000 0.500
Ag 0.500 0.500 0.000
Sn 0.340 0.086 0.729
Sn 0.340 0.414 0.229
Sn 0.660 0.586 0.771
Sn 0.660 0.914 0.271

---

[2]
Density functional theory data (PBE) for an optimized crystal structure of Mg3AgSn.

Computed properties:
Offset from the most stable computed form: 21.1 meV per atom
Energy relative to the elements: -0.1060 eV/atom
Raw total energy: -0.1789 Ry/atom

Lattice parameters (Å, degrees): 6.927 4.398 7.093 90.00 92.53 90.00
Atoms (fractional coordinates):
Mg 0.000 0.000 0.000
Mg 0.086 0.500 0.714
Mg 0.200 0.000 0.423
Mg 0.322 0.500 0.115
Mg 0.438 0.000 0.827
Mg 0.621 0.000 0.240
Ag 0.705 0.500 0.929
Ag 0.817 0.000 0.632
Sn 0.502 0.500 0.532
Sn 0.925 0.500 0.301

---

[3]
Density functional theory data (PBE) for an optimized crystal structure of Mg6Ag10Sn.

Computed properties:
Energy relative to the elements: -0.1470 eV/atom
Raw total energy: -0.1927 Ry/atom

Lattice parameters (Å, degrees): 8.079 8.079 5.715 90.00 90.00 120.00
Atoms (fractional coordinates):
Mg 0.000 0.367 0.301
Mg 0.000 0.633 0.699
Mg 0.367 0.000 0.301
Mg 0.367 0.367 0.699
Mg 0.633 0.000 0.699
Mg 0.633 0.633 0.301
Ag 0.000 0.293 0.823
Ag 0.000 0.707 0.177
Ag 0.293 0.000 0.823
Ag 0.293 0.293 0.177
Ag 0.333 0.667 0.000
Ag 0.333 0.667 0.500
Ag 0.667 0.333 0.000
Ag 0.667 0.333 0.500
Ag 0.707 0.000 0.177
Ag 0.707 0.707 0.823
Sn 0.000 0.000 0.500

---

[4]
Density functional theory data (PBE) for an optimized crystal structure of Mg2Ag2Sn.

Computed properties:
Offset from the most stable computed form: 70.4 meV per atom
Energy relative to the elements: -0.0800 eV/atom
Raw total energy: -0.1954 Ry/atom

Lattice parameters (Å, degrees): 4.964 3.156 13.252 90.00 90.01 90.00
Atoms (fractional coordinates):
Mg 0.249 0.250 0.356
Mg 0.250 0.750 0.961
Mg 0.750 0.250 0.039
Mg 0.751 0.750 0.644
Ag 0.250 0.250 0.143
Ag 0.250 0.750 0.534
Ag 0.750 0.250 0.466
Ag 0.750 0.750 0.857
Sn 0.251 0.250 0.748
Sn 0.749 0.750 0.252

---

[5]
Density functional theory data (PBE) for an optimized crystal structure of Mg6Ag12Sn.

Computed properties:
Energy relative to the elements: -0.0971 eV/atom
Raw total energy: -0.1920 Ry/atom

Lattice parameters (Å, degrees): 7.150 7.150 7.150 91.14 91.14 91.14
Atoms (fractional coordinates):
Mg 0.209 0.615 0.781
Mg 0.219 0.791 0.385
Mg 0.385 0.219 0.791
Mg 0.615 0.781 0.209
Mg 0.781 0.209 0.615
Mg 0.791 0.385 0.219
Ag 0.030 0.296 0.934
Ag 0.066 0.970 0.704
Ag 0.127 0.336 0.475
Ag 0.296 0.934 0.030
Ag 0.336 0.475 0.127
Ag 0.475 0.127 0.336
Ag 0.525 0.873 0.664
Ag 0.664 0.525 0.873
Ag 0.704 0.066 0.970
Ag 0.873 0.664 0.525
Ag 0.934 0.030 0.296
Ag 0.970 0.704 0.066
Sn 0.500 0.500 0.500

---

[6]
Density functional theory data (PBE) for an optimized crystal structure of Mg3Ag5Sn.

Computed properties:
Offset from the most stable computed form: 191.4 meV per atom
Energy relative to the elements: 0.0636 eV/atom
Raw total energy: -0.1835 Ry/atom

Lattice parameters (Å, degrees): 8.110 8.110 8.110 119.41 119.41 91.02
Atoms (fractional coordinates):
Mg 0.116 0.616 0.731
Mg 0.250 0.250 0.000
Mg 0.384 0.116 0.500
Mg 0.616 0.884 0.500
Mg 0.750 0.750 0.000
Mg 0.884 0.384 0.269
Ag 0.000 0.000 0.000
Ag 0.071 0.169 0.500
Ag 0.169 0.669 0.098
Ag 0.331 0.429 0.500
Ag 0.429 0.929 0.098
Ag 0.500 0.500 0.000
Ag 0.571 0.071 0.902
Ag 0.669 0.571 0.500
Ag 0.831 0.331 0.902
Ag 0.929 0.831 0.500
Sn 0.250 0.750 0.500
Sn 0.750 0.250 0.500

---

[7]
Density functional theory data (PBE) for an optimized crystal structure of Mg4AgSn2.

Computed properties:
Energy relative to the elements: -0.0716 eV/atom
Raw total energy: -0.1862 Ry/atom

Lattice parameters (Å, degrees): 7.069 5.879 8.208 90.00 104.26 90.00
Atoms (fractional coordinates):
Mg 0.092 0.250 0.038
Mg 0.158 0.002 0.722
Mg 0.158 0.498 0.722
Mg 0.333 0.750 0.411
Mg 0.667 0.250 0.589
Mg 0.842 0.502 0.278
Mg 0.842 0.998 0.278
Mg 0.908 0.750 0.962
Ag 0.487 0.250 0.233
Ag 0.513 0.750 0.767
Sn 0.212 0.250 0.425
Sn 0.358 0.750 0.052
Sn 0.642 0.250 0.948
Sn 0.788 0.750 0.575

---

[8]
Density functional theory data (PBE) for an optimized crystal structure of Mg3AgSn.

Computed properties:
Offset from the most stable computed form: 267.9 meV per atom
Energy relative to the elements: 0.1408 eV/atom
Raw total energy: -0.1607 Ry/atom

Lattice parameters (Å, degrees): 5.088 5.088 5.088 90.00 90.00 90.00
Atoms (fractional coordinates):
Mg 0.000 0.000 0.500
Mg 0.000 0.500 0.000
Mg 0.500 0.000 0.000
Ag 0.000 0.000 0.000
Sn 0.500 0.500 0.500